No. 1
Entry from the Alexandria database: a geometry-optimized CdAs2Se structure (PBE-GGA).

Values from the calculation:
- symmetry = No. 8
- excess energy over the best structure of this formula in the dataset (meV per atom) = 36
- final energy (eV per atom) = -3.503

a = 4.931 Å, b = 5.133 Å, c = 4.931 Å
α = 104.06°, β = 111.42°, γ = 111.52°
Element x y z (fractional)
As: 0.087 0.530 0.444
Cd: 0.633 0.638 0.005
As: 0.126 0.174 0.048
Se: 0.654 0.158 0.503

No. 2
Entry from the Alexandria database: a geometry-optimized SiTcNi3 structure (PBE-GGA).

Values from the calculation:
- symmetry = No. 221
- excess energy over the best structure of this formula in the dataset (meV per atom) = 743
- final energy (eV per atom) = -5.201

a = 4.458 Å, b = 4.458 Å, c = 4.458 Å
α = 90.00°, β = 90.00°, γ = 90.00°
Element x y z (fractional)
Ni: 0.000 0.500 0.000
Tc: 0.000 0.000 0.000
Si: 0.500 0.500 0.500
Ni: 0.500 0.000 0.000
Ni: 0.000 0.000 0.500